Entry from Alexandria: a geometry-optimized ZnIrRu structure (GGA-PBE).

Cell: 7.153 6.895 2.722 Å, 84.21 73.54 22.25°
Site moments in Bohr magnetons follow the coordinates.
Positions (direct):
Ru1 0.667 0.667 0.333  0.76
Ir1 0.000 0.000 0.000  0.07
Zn1 0.333 0.333 0.667  0.00

VASP energy ... -0.46334 Ry per atom
Excess energy over the best structure of this formula in the dataset ... 0.231 eV per atom
Formation energy from the elements ... 0.1662 eV per atom
Calculated volume ... 44 Å³/cell
Total moment ... 0.86 μB/f.u.